(1)
Entry from Alexandria via LeMat-Bulk: a geometry-optimized Ca3In2Hg2Au4 structure (PBE).

## Properties
Magnetization, μB per formula unit: 0.000
Energy of formation, eV/atom: -0.537
Theoretical density, g/cm3: 9.31

Geometry as POSCAR:
```
Ca3In2Hg2Au4
1.0
-0.6145 -2.6730 4.0038
2.4948 -1.7943 -3.7563
11.3575 5.0640 5.1241
Au Ca Hg In
4 3 2 2
Direct
0.6667 0.3333 0.1281
0.6667 0.3333 0.6275
0.3333 0.6667 0.8719
0.3333 0.6667 0.3725
0.0000 0.0000 0.0000
0.0000 0.0000 0.2715
0.0000 0.0000 0.7285
0.3333 0.6667 0.1398
0.6667 0.3333 0.8602
0.6667 0.3333 0.4206
0.3333 0.6667 0.5794
```

(2)
Entry from Alexandria via LeMat-Bulk: a geometry-optimized Ca4InHg2Au structure (PBE).

## Properties
Magnetization, μB per formula unit: 0.000
Energy of formation, eV/atom: -0.589
Theoretical density, g/cm3: 6.77

Geometry as POSCAR:
```
Ca4InHg2Au
1.0
-2.4164 4.5725 1.2521
-5.1853 0.6334 -1.0130
-4.4673 -1.4510 7.9840
Au Hg In Ca
1 2 1 4
Direct
0.5000 0.5000 0.5000
0.2551 0.2551 0.2346
0.7449 0.7449 0.7654
0.0000 0.0000 0.0000
0.8711 0.8711 0.3866
0.6202 0.6202 0.1395
0.3798 0.3798 0.8605
0.1289 0.1289 0.6134
```

(3)
Entry from Alexandria via LeMat-Bulk: a geometry-optimized Ca3In2Hg4Au2 structure (PBE).

## Properties
Magnetization, μB per formula unit: 0.000
Energy of formation, eV/atom: -0.428
Theoretical density, g/cm3: 8.86

Geometry as POSCAR:
```
Ca3In2Hg4Au2
1.0
4.8811 0.0000 0.0000
-2.4405 4.2271 0.0000
0.0000 0.0000 14.0414
Hg In Au Ca
4 2 2 3
Direct
0.6667 0.3333 0.6387
0.3333 0.6667 0.8772
0.6667 0.3333 0.1228
0.3333 0.6667 0.3613
0.6667 0.3333 0.4253
0.3333 0.6667 0.5747
0.3333 0.6667 0.1358
0.6667 0.3333 0.8642
0.0000 0.0000 0.7460
0.0000 0.0000 0.0000
0.0000 0.0000 0.2540
```

(4)
Entry from Alexandria via LeMat-Bulk: a geometry-optimized KCaHgAu structure (PBE).

## Properties
Magnetization, μB per formula unit: 0.000
Energy of formation, eV/atom: -0.326
Theoretical density, g/cm3: 6.85

Geometry as POSCAR:
```
KCaHgAu
1.0
5.4673 0.0000 0.0000
2.7337 4.7348 0.0000
2.7337 1.5783 4.4641
K Hg Au Ca
1 1 1 1
Direct
0.5000 0.5000 0.5000
0.7500 0.7500 0.7500
0.2500 0.2500 0.2500
0.0000 0.0000 0.0000
```